! MgAg5Pd4, relaxed, DFT GGA-PBE; values from VASP
&SYSTEM
  ibrav = 0, nat = 10, ntyp = 3
/
ATOMIC_SPECIES
Mg 24.30 Mg.upf
Ag 107.87 Ag.upf
Pd 106.42 Pd.upf
ATOMIC_POSITIONS crystal
Mg 0.5000 0.0000 0.0000
Ag 0.8429 0.3769 0.6859
Ag 0.8103 0.7477 0.6206
Ag 0.1897 0.2523 0.3794
Ag 0.5000 0.5000 0.0000
Ag 0.1571 0.6231 0.3141
Pd 0.3252 0.0603 0.6504
Pd 0.9786 0.1950 0.9573
Pd 0.6748 0.9397 0.3496
Pd 0.0213 0.8050 0.0427
CELL_PARAMETERS angstrom
4.1304 0.0000 -1.0007
-0.6431 6.2250 -2.6544
-0.3840 -0.7620 7.4393
! Raw total energy   -37.439 eV per formula unit
! N(E_F)   2.8 states/eV per cell
! ΔE_f   -0.082 eV/atom